Material: Zn2CuSb2
Method: DFT, GGA-PBE
State: optimized geometry

```
Zn2CuSb2
1.0
-2.378 -6.278 3.037
6.607 -3.055 -1.143
1.226 1.292 3.632
Sb Zn Cu
4 4 2
Direct
0.309 0.809 0.000 Sb
0.809 0.691 0.000 Sb
0.691 0.191 0.000 Sb
0.191 0.309 0.000 Sb
0.122 0.622 0.500 Zn
0.622 0.878 0.500 Zn
0.878 0.378 0.500 Zn
0.378 0.122 0.500 Zn
0.000 0.000 0.000 Cu
0.500 0.500 0.000 Cu
```

Values from the calculation:
The spin magnetization comes out at 0.00 μB per cell. The value obtained for the energy above the most stable polymorph in this dataset is 0.000 eV per atom. The calculation puts the energy relative to the elements, uncorrected at 112 kJ/mol of formula units. The space group is P4/mbm. Its density of states at the Fermi level is 2.25 states/eV/f.u.